Entry 1:
10
Lattice="2.754 0.000 0.000 -0.008 6.465 0.000 -1.370 -2.248 8.051" Properties=species:S:1:pos:R:3 comment="VReOs3 GGA-PBE optimized geometry" de_polymorph_kj_per_mol_fu=0 e_tot_ev_per_cell=-111.41 delta_e_f_kj_per_mol_fu=-43.5 total_magnetization_mub_per_fu=0.00 pbc="T T T"
V -0.009 -0.377 1.853
V 1.385 4.593 6.198
Re -0.002 3.387 1.316
Re 1.377 0.830 6.735
Os 0.004 -0.117 4.541
Os -0.003 2.573 5.062
Os 0.004 2.866 7.776
Os 1.372 1.351 0.276
Os 1.379 1.643 2.989
Os 1.371 4.334 3.510

=====

Entry 2:
3
Lattice="-1.694 1.694 5.800 1.694 -1.694 5.800 1.694 1.694 -5.800" Properties=species:S:1:pos:R:3 comment="AlCdSe GGA-PBE optimized geometry" de_polymorph_kj_per_mol_fu=57 e_tot_ev_per_cell=-8.46 total_magnetization_mub_per_fu=0.00 formation_energy_uncorrected_kj_per_mol_fu=-30 pbc="T T T"
Al 0.000 0.000 0.000
Cd 0.000 0.000 7.936
Se 0.000 0.000 4.687

=====

Copy entry 2 word for word.
3
Lattice="-1.694 1.694 5.800 1.694 -1.694 5.800 1.694 1.694 -5.800" Properties=species:S:1:pos:R:3 comment="AlCdSe GGA-PBE optimized geometry" de_polymorph_kj_per_mol_fu=57 e_tot_ev_per_cell=-8.46 total_magnetization_mub_per_fu=0.00 formation_energy_uncorrected_kj_per_mol_fu=-30 pbc="T T T"
Al 0.000 0.000 0.000
Cd 0.000 0.000 7.936
Se 0.000 0.000 4.687